First-principles (PBE-GGA) data for crystalline GdHoGa2Cu4 at its relaxed geometry, as listed in OQMD via LeMat-Bulk.

POSCAR file:
```
GdHoGa2Cu4
1.0
4.272 0.000 0.000
-2.136 3.699 0.000
0.000 0.000 8.685
Gd Ho Ga Cu
1 1 2 4
direct
0.000 0.000 0.000 Gd
0.333 0.667 0.500 Ho
0.667 0.333 0.252 Ga
0.667 0.333 0.748 Ga
0.000 0.000 0.332 Cu
0.000 0.000 0.668 Cu
0.333 0.667 0.176 Cu
0.333 0.667 0.824 Cu
```

Properties
Its density is 8.7 g cm⁻³. The value obtained for the calculated total energy is -4.1345 eV/atom.